Model a:
The following is a PBE calculation of a relaxed NaPRh3 crystal, from the Alexandria database.

The space group is Pm-3m (No. 221) and the conventional cell measures 4.4579, 4.4579 and 4.4579 Å, with angles of 90.00, 90.00 and 90.00 degrees. The asymmetric unit holds Na at (0.0000, 0.0000, 0.0000), P at (0.5000, 0.5000, 0.5000) and Rh at (0.0000, 0.0000, 0.5000).

***

Model b:
The following is a PBE calculation of a relaxed NaPRh3 crystal, from the Alexandria database.

The space group is Pm-3m (No. 221) and the conventional cell measures 4.4229, 4.4229 and 4.4229 Å, with angles of 90.00, 90.00 and 90.00 degrees. The asymmetric unit holds Na at (0.0000, 0.0000, 0.0000), P at (0.5000, 0.5000, 0.5000) and Rh at (0.0000, 0.5000, 0.5000).

***

Which of them is the most stable, and which is the least stable? model b and model a, in that order.

***

Model a:
The following is a PBE calculation of a relaxed NaP2RhS crystal, from the Alexandria database.

The space group is P4/mmm (No. 123) and the conventional cell measures 4.4732, 4.4732 and 5.3868 Å, with angles of 90.00, 90.00 and 90.00 degrees. The asymmetric unit holds Na at (0.0000, 0.0000, 0.0000), P at (0.0000, 0.5000, 0.5000), Rh at (0.5000, 0.5000, 0.5000) and S at (0.5000, 0.5000, 0.0000).

***

Model b:
The following is a PBE calculation of a relaxed NaP2RhS crystal, from the Alexandria database.

The space group is P4/mmm (No. 123) and the conventional cell measures 4.6751, 4.6751 and 4.6747 Å, with angles of 90.00, 90.00 and 90.00 degrees. The asymmetric unit holds Na at (0.0000, 0.0000, 0.0000), P at (0.0000, 0.5000, 0.0000), Rh at (0.5000, 0.5000, 0.5000) and S at (0.0000, 0.0000, 0.5000).

***

Which of them is the most stable, and which is the least stable? model a and model b, in that order.

***

Model a:
The following is a PBE calculation of a relaxed NaP2Ru crystal, from the Alexandria database.

The space group is I-42d (No. 122) and the conventional cell measures 6.2016, 6.2016 and 10.1601 Å, with angles of 90.00, 90.00 and 90.00 degrees. The asymmetric unit holds Na at (0.0000, 0.0000, 0.0000), P at (0.1539, 0.2500, 0.6250) and Ru at (0.0000, 0.0000, 0.5000).

***

Model b:
The following is a PBE calculation of a relaxed NaP2Ru crystal, from the Alexandria database.

The space group is Fm-3m (No. 225) and the conventional cell measures 6.1006, 6.1006 and 6.1006 Å, with angles of 90.00, 90.00 and 90.00 degrees. The asymmetric unit holds Na at (0.0000, 0.0000, 0.0000), P at (0.2500, 0.2500, 0.2500) and Ru at (0.0000, 0.0000, 0.5000).

***

Which of them is the most stable, and which is the least stable? model a and model b, in that order.

***

Model a:
The following is a PBE calculation of a relaxed NaPS3 crystal, from the Alexandria database.

The space group is P2_1/c (No. 14) and the conventional cell measures 7.2580, 7.1097 and 11.6821 Å, with angles of 90.00, 118.67 and 90.00 degrees. The asymmetric unit holds Na at (0.2454, 0.1064, 0.2555), P at (0.1517, 0.5886, 0.1279), S at (0.1690, 0.5060, 0.2949), S at (0.1716, 0.1481, 0.5170) and S at (0.3454, 0.7089, 0.6346).

***

Model b:
The following is a PBE calculation of a relaxed NaPS3 crystal, from the Alexandria database.

The space group is Pm-3m (No. 221) and the conventional cell measures 4.9645, 4.9645 and 4.9645 Å, with angles of 90.00, 90.00 and 90.00 degrees. The asymmetric unit holds Na at (0.0000, 0.0000, 0.0000), P at (0.5000, 0.5000, 0.5000) and S at (0.0000, 0.0000, 0.5000).

***

Which of them is the most stable, and which is the least stable? model a and model b, in that order.

***

Model a:
The following is a PBE calculation of a relaxed NaPS4 crystal, from the Alexandria database.

The space group is C2/m (No. 12) and the conventional cell measures 13.7642, 3.0555 and 7.2761 Å, with angles of 90.00, 119.16 and 90.00 degrees. The asymmetric unit holds Na at (0.0000, 0.0000, 0.0000), P at (0.0000, 0.5000, 0.5000), S at (0.1046, 0.0000, 0.4582) and S at (0.1210, 0.5000, 0.8463).

***

Model b:
The following is a PBE calculation of a relaxed NaPS4 crystal, from the Alexandria database.

The space group is Ama2 (No. 40) and the conventional cell measures 7.8456, 11.7207 and 6.8091 Å, with angles of 90.00, 90.00 and 90.00 degrees. The asymmetric unit holds Na at (0.0000, 0.0000, 0.0000), P at (0.2500, 0.0638, 0.4853), S at (0.0498, 0.1411, 0.3376), S at (0.2500, 0.0957, 0.7733) and S at (0.2500, 0.3831, 0.9168).

***

Which of them is the most stable, and which is the least stable? model b and model a, in that order.

***

Model a:
The following is a PBE calculation of a relaxed NaP3S crystal, from the Alexandria database.

The space group is Pm-3m (No. 221) and the conventional cell measures 4.8239, 4.8239 and 4.8239 Å, with angles of 90.00, 90.00 and 90.00 degrees. The asymmetric unit holds Na at (0.0000, 0.0000, 0.0000), P at (0.0000, 0.0000, 0.5000) and S at (0.5000, 0.5000, 0.5000).

***

Model b:
The following is a PBE calculation of a relaxed NaP3S crystal, from the Alexandria database.

The space group is Pm-3m (No. 221) and the conventional cell measures 4.6528, 4.6528 and 4.6528 Å, with angles of 90.00, 90.00 and 90.00 degrees. The asymmetric unit holds Na at (0.0000, 0.0000, 0.0000), P at (0.0000, 0.5000, 0.5000) and S at (0.5000, 0.5000, 0.5000).

***

Which of them is the most stable, and which is the least stable? model b and model a, in that order.